A relaxed Pm4AgPd3 crystal, computed with PBE.

Calculated values
- final energy (eV/atom) = -5.362
- density of states at the Fermi level (states/eV/cell) = 5.76

CIF file:
```
data_Pm4AgPd3
_chemical_formula_sum 'Pm4 Ag1 Pd3'
_cell_length_a 3.861
_cell_length_b 4.727
_cell_length_c 10.874
_cell_angle_alpha 90.00
_cell_angle_beta 90.00
_cell_angle_gamma 90.00
_space_group_name_H-M_alt 'P m m 2'
_space_group_IT_number 25
_space_group_name_Hall 'P 2 -2'
loop_
_atom_site_label
_atom_site_type_symbol
_atom_site_fract_x
_atom_site_fract_y
_atom_site_fract_z
Pm1 Pm 0.000 0.000 0.000
Pm2 Pm 0.000 0.500 0.266
Pm3 Pm 0.500 0.000 0.484
Pm4 Pm 0.500 0.500 0.770
Ag1 Ag 0.000 0.000 0.709
Pd1 Pd 0.000 0.500 0.546
Pd2 Pd 0.500 0.000 0.215
Pd3 Pd 0.500 0.500 0.045
```